VASP calculation (PBE+U) on an optimized crystal structure of NaMgVO4.

Properties
As for the total DFT energy (no corrections): -6.4910 eV per atom. For the magnetization, the calculation gives 0.11 μB/cell.

The structure in POSCAR format:
```
NaMgVO4
1.0
5.286 0.000 0.000
0.000 5.286 0.000
-2.643 -2.643 4.073
Na Mg O V
1 1 4 1
direct
0.000 0.000 0.000 Na
0.500 0.500 0.000 Mg
0.219 0.094 0.746 O
0.348 0.781 0.254 O
0.906 0.473 0.254 O
0.527 0.652 0.746 O
0.250 0.750 0.500 V
```